VASP calculation (PBE+U) on an optimized crystal structure of TiFe3Ni2P6O24.

Calculated values
The calculation puts the density at 3.37 g/cm3. Its density of states at the Fermi level is 19.1 states/eV/cell. For the total energy, the calculation gives -7.0334 eV per atom. Its magnetization is 9.48 μB/f.u.

```
TiFe3Ni2P6O24
1.0
4.3081 2.4873 6.9087
-4.3081 2.4873 6.9087
0.0000 -4.9746 6.9087
Ti Fe Ni P O
1 3 2 6 24
direct
0.0000 0.0000 0.0000
0.2106 0.2106 0.2106
0.4981 0.4981 0.4981
0.7098 0.7098 0.7098
0.3536 0.3536 0.3536
0.8539 0.8539 0.8539
0.1059 0.8088 0.4013
0.3089 0.6049 0.8993
0.4013 0.1059 0.8088
0.6049 0.8993 0.3089
0.8088 0.4013 0.1059
0.8993 0.3089 0.6049
0.0344 0.8616 0.2391
0.0993 0.2924 0.4472
0.1081 0.7660 0.9180
0.1765 0.9632 0.3579
0.2391 0.0344 0.8616
0.2622 0.6103 0.4097
0.2924 0.4472 0.0993
0.3465 0.5400 0.7426
0.3579 0.1765 0.9632
0.4097 0.2622 0.6103
0.4472 0.0993 0.2924
0.4635 0.6751 0.8573
0.5400 0.7426 0.3465
0.5983 0.9455 0.7947
0.6103 0.4097 0.2622
0.6751 0.8573 0.4635
0.7426 0.3465 0.5400
0.7660 0.9180 0.1081
0.7947 0.5983 0.9455
0.8573 0.4635 0.6751
0.8616 0.2391 0.0344
0.9180 0.1081 0.7660
0.9455 0.7947 0.5983
0.9632 0.3579 0.1765
```